# 1
VASP calculation (GGA-PBE) on a relaxed YRhSeI2 crystal.

```
YRhSeI2
1.0
5.886 0.000 0.000
0.000 4.535 0.000
0.000 0.000 5.886
Se I Rh Y
1 2 1 1
direct
0.000 0.000 0.000 Se
0.500 0.000 0.000 I
0.000 0.000 0.500 I
0.000 0.500 0.000 Rh
0.500 0.500 0.500 Y
```

density: 5.545 g/cm³
Fermi-level density of states: 4.53 states/eV per cell
uncorrected formation energy: 0.303 eV/atom
space group: P4/mmm (123)


# 2
VASP calculation (GGA-PBE) on a relaxed MgGe2Ir2 crystal.

```
MgGe2Ir2
1.0
-7.370 0.602 0.748
-0.150 -6.438 3.711
0.369 1.426 2.488
Ir Mg Ge
4 2 4
direct
0.348 0.152 0.500 Ir
0.152 0.652 0.500 Ir
0.652 0.848 0.500 Ir
0.848 0.348 0.500 Ir
0.000 0.000 0.000 Mg
0.500 0.500 0.000 Mg
0.144 0.356 0.000 Ge
0.356 0.856 0.000 Ge
0.856 0.644 0.000 Ge
0.644 0.144 0.000 Ge
```

density: 11.520 g/cm³
ΔH_f (0 K): -0.18 eV per atom
Fermi-level density of states: 5.34 states/eV per cell
space group: P4/mbm (127)


# 3
VASP calculation (GGA-PBE) on a relaxed TmTlAg2 crystal.

```
TmTlAg2
1.0
-4.176 0.569 1.213
-0.641 -4.479 -0.108
1.225 -0.280 4.348
Ag Tm Tl
2 1 1
direct
0.000 0.500 0.000 Ag
0.000 0.000 0.500 Ag
0.500 0.000 0.000 Tm
0.500 0.500 0.500 Tl
```

density: 10.886 g/cm³
ΔH_f (0 K): -0.12 eV per atom
Fermi-level density of states: 2.71 states/eV per cell
space group: P4/mmm (123)


# 4
VASP calculation (GGA-PBE) on a relaxed SiPbO3 crystal.

```
SiPbO3
1.0
-4.123 -0.805 0.381
0.250 -2.775 -3.166
0.855 -3.072 2.760
Pb O Si
1 3 1
direct
0.500 0.500 0.500 Pb
0.000 0.500 0.500 O
0.500 0.000 0.500 O
0.500 0.500 0.000 O
0.000 0.000 0.000 Si
```

density: 6.269 g/cm³
Fermi-level density of states: 0.61 states/eV per cell
uncorrected formation energy: -0.110 eV/atom
space group: Pm-3m (221)


# 5
VASP calculation (GGA-PBE) on a relaxed Al2AgIr2 crystal.

```
Al2AgIr2
1.0
7.267 0.000 0.000
0.000 7.267 0.000
0.000 0.000 2.881
Ir Al Ag
4 4 2
direct
0.154 0.654 0.500 Ir
0.346 0.154 0.500 Ir
0.654 0.846 0.500 Ir
0.846 0.346 0.500 Ir
0.640 0.140 0.000 Al
0.140 0.360 0.000 Al
0.360 0.860 0.000 Al
0.860 0.640 0.000 Al
0.000 0.000 0.000 Ag
0.500 0.500 0.000 Ag
```

density: 11.925 g/cm³
ΔH_f (0 K): -0.53 eV per atom
Fermi-level density of states: 2.82 states/eV per cell
space group: P4/mbm (127)


# 6
VASP calculation (GGA-PBE) on a relaxed TbCe2In crystal.

```
TbCe2In
1.0
4.206 0.000 0.000
0.000 4.206 0.000
0.000 0.000 6.773
Ce In Tb
2 1 1
direct
0.000 0.000 0.790 Ce
0.000 0.000 0.210 Ce
0.500 0.500 0.000 In
0.500 0.500 0.500 Tb
```

density: 7.678 g/cm³
ΔH_f (0 K): -0.09 eV per atom
Fermi-level density of states: 11.90 states/eV per cell
space group: P4/mmm (123)


# 7
VASP calculation (GGA-PBE) on a relaxed Zn2FeHRu crystal.

```
Zn2FeHRu
1.0
4.112 0.000 0.000
0.000 4.112 0.000
0.000 0.000 3.313
H Zn Ru Fe
1 2 1 1
direct
0.000 0.000 0.000 H
0.500 0.000 0.000 Zn
0.000 0.500 0.000 Zn
0.500 0.500 0.500 Ru
0.000 0.000 0.500 Fe
```

density: 8.560 g/cm³
calculated total energy: -4.56 eV/atom
Fermi-level density of states: 4.11 states/eV per cell
space group: P4/mmm (123)


# 8
VASP calculation (GGA-PBE) on a relaxed TcTe2W2 crystal.

```
TcTe2W2
1.0
-0.715 1.163 4.907
-4.830 -1.583 -0.329
-1.535 -4.222 3.420
Te W Tc
2 2 1
direct
0.750 0.250 0.500 Te
0.250 0.750 0.500 Te
0.366 0.366 0.267 W
0.634 0.634 0.733 W
0.000 0.000 0.000 Tc
```

density: 10.613 g/cm³
Fermi-level density of states: 3.70 states/eV per cell
uncorrected formation energy: 1.237 eV/atom
space group: I4/mmm (139)